1.
Below is a geometry-optimized Sr2YReO6 structure, with properties calculated at the PBE level.

Summary:
Polymorph energy (0 for the lowest one) (eV per atom): 0.041
Density of states at the Fermi level (states/eV per cell): 4.0
Formation energy (no corrections) (eV/atom): -2.58
Space-group type: Fm-3m (225)
Crystal system: cubic
Total magnetization (μB/atom): 0.192

Lattice parameters (Å, degrees): 5.907 5.907 5.907 60.00 60.00 60.00
Fractional positions:
Sr 0.250 0.250 0.250
Sr 0.750 0.750 0.750
Y 0.500 0.500 0.500
Re 0.000 0.000 0.000
O 0.764 0.236 0.764
O 0.236 0.236 0.764
O 0.764 0.764 0.236
O 0.764 0.236 0.236
O 0.236 0.764 0.236
O 0.236 0.764 0.764

2.
Below is a geometry-optimized Sr2YReO6 structure, with properties calculated at the PBE level.

Summary:
Polymorph energy (0 for the lowest one) (eV per atom): 0.000
Density of states at the Fermi level (states/eV per cell): 9.2
Formation energy (no corrections) (eV/atom): -2.62
Space-group type: P2_1/c (14)
Crystal system: monoclinic
Total magnetization (μB/atom): 0.201

Lattice parameters (Å, degrees): 5.832 5.904 8.279 90.00 90.28 90.00
Fractional positions:
Sr 0.008 0.964 0.250
Sr 0.508 0.536 0.750
Sr 0.992 0.036 0.750
Sr 0.492 0.464 0.250
Y 0.500 0.000 0.000
Y 0.000 0.500 0.500
Re 0.500 0.000 0.500
Re 0.000 0.500 0.000
O 0.271 0.699 0.038
O 0.771 0.801 0.538
O 0.729 0.301 0.962
O 0.229 0.199 0.462
O 0.304 0.728 0.459
O 0.804 0.772 0.959
O 0.696 0.272 0.541
O 0.196 0.228 0.041
O 0.926 0.520 0.234
O 0.426 0.980 0.734
O 0.074 0.480 0.766
O 0.574 0.020 0.266